Material: Ca2MnAl
Method: DFT, PBE-GGA
State: relaxed

Summary:
The density of states at the Fermi level is 1.136 states/eV per atom. For the mass density, the calculation gives 2.602 g cm⁻³. The value obtained for the energy relative to the elements is 91 meV/atom.

a b c (Å): 3.4694 3.4694 8.5913
angles (deg): 90.00 90.00 90.00
Element x y z (fractional)
Ca 0.0000 0.0000 0.0000
Ca 0.5000 0.5000 0.3710
Mn 0.0000 0.0000 0.6233
Al 0.5000 0.5000 0.7479

***

Material: RbZr3Sn
Method: DFT, PBE-GGA
State: relaxed

Summary:
The density of states at the Fermi level is 1.128 states/eV per atom. For the mass density, the calculation gives 6.182 g cm⁻³. The value obtained for the energy relative to the elements is 1824 meV/atom. The energy above the most stable polymorph in this dataset comes out at 3.90 eV/f.u.

a b c (Å): 5.0443 5.0443 5.0443
angles (deg): 90.00 90.00 90.00
Element x y z (fractional)
Rb 0.0000 0.0000 0.0000
Zr 0.0000 0.0000 0.5000
Zr 0.0000 0.5000 0.0000
Zr 0.5000 0.0000 0.0000
Sn 0.5000 0.5000 0.5000

***

Material: Ca2TaCd
Method: DFT, PBE-GGA
State: relaxed

Summary:
The density of states at the Fermi level is 1.006 states/eV per atom. For the mass density, the calculation gives 6.072 g cm⁻³. The value obtained for the energy relative to the elements is 472 meV/atom.

a b c (Å): 3.1897 4.9456 6.4755
angles (deg): 90.00 90.09 90.00
Element x y z (fractional)
Ca 0.0010 0.0000 0.2445
Ca 0.9990 0.0000 0.7555
Ta 0.5000 0.5000 0.0000
Cd 0.5000 0.5000 0.5000

***

Material: Sr2ErPbSe4
Method: DFT, PBE-GGA
State: relaxed

Summary:
The density of states at the Fermi level is 0.403 states/eV per atom. Its energy relative to the elements, uncorrected is -1.54 eV/atom. For the mass density, the calculation gives 6.260 g cm⁻³.

a b c (Å): 7.4714 4.3175 7.5448
angles (deg): 90.00 109.37 90.00
Element x y z (fractional)
Sr 0.0000 0.0000 0.0000
Sr 0.0000 0.5000 0.5000
Er 0.5000 0.0000 0.5000
Pb 0.5000 0.5000 0.0000
Se 0.2623 0.0000 0.7395
Se 0.2692 0.5000 0.2680
Se 0.7308 0.5000 0.7320
Se 0.7377 0.0000 0.2605

***

Material: Ac2MnGePd6
Method: DFT, PBE-GGA
State: relaxed

Summary:
The density of states at the Fermi level is 0.438 states/eV per atom. For the mass density, the calculation gives 9.457 g cm⁻³. The value obtained for the energy relative to the elements is -604 meV/atom.

a b c (Å): 6.6761 6.6761 8.5488
angles (deg): 127.89 127.89 49.83
Element x y z (fractional)
Ac 0.2448 0.2448 0.2106
Ac 0.7552 0.7552 0.7894
Mn 0.5000 0.5000 0.0000
Ge 0.0000 0.0000 0.5000
Pd 0.2512 0.2512 0.6061
Pd 0.2517 0.7485 0.2561
Pd 0.2515 0.7483 0.7439
Pd 0.7485 0.2517 0.2561
Pd 0.7483 0.2515 0.7439
Pd 0.7488 0.7488 0.3939

***

Material: BiH3Rh
Method: DFT, PBE-GGA
State: relaxed

Summary:
The density of states at the Fermi level is 0.240 states/eV per atom. For the mass density, the calculation gives 8.618 g cm⁻³. The energy above the most stable polymorph in this dataset comes out at 0.00 eV/f.u.

a b c (Å): 6.7842 4.7446 9.6094
angles (deg): 90.00 128.31 90.00
Element x y z (fractional)
Bi 0.0690 0.2261 0.1390
Bi 0.0690 0.2739 0.6390
Bi 0.9310 0.7261 0.3610
Bi 0.9310 0.7739 0.8610
H 0.2538 0.2258 0.9760
H 0.2538 0.2742 0.4760
H 0.3979 0.6835 0.2553
H 0.3979 0.8165 0.7553
H 0.4211 0.6832 0.9585
H 0.4211 0.8168 0.4585
H 0.5789 0.1832 0.5415
H 0.5789 0.3168 0.0415
H 0.6021 0.1835 0.2447
H 0.6021 0.3165 0.7447
H 0.7462 0.7258 0.5240
H 0.7462 0.7742 0.0240
Rh 0.4231 0.0313 0.6134
Rh 0.4231 0.4687 0.1134
Rh 0.5769 0.5313 0.8866
Rh 0.5769 0.9687 0.3866

***

Material: Ag2H3Pd3
Method: DFT, PBE-GGA
State: relaxed

Summary:
The density of states at the Fermi level is 0.283 states/eV per atom. For the mass density, the calculation gives 9.708 g cm⁻³. The value obtained for the total energy is -3.958 eV/atom.

a b c (Å): 3.0781 5.2789 6.1541
angles (deg): 78.17 75.65 73.79
Element x y z (fractional)
Ag 0.0000 0.0000 0.0000
Ag 0.2096 0.3684 0.2110
H 0.2025 0.0682 0.5166
H 0.3964 0.5361 0.6612
H 0.6074 0.6800 0.1059
Pd 0.4217 0.7711 0.3894
Pd 0.5996 0.1862 0.6125
Pd 0.7915 0.5945 0.8205

***

Material: Ba5Zn5Ga2
Method: DFT, PBE-GGA
State: relaxed

Summary:
The density of states at the Fermi level is 0.895 states/eV per atom. For the mass density, the calculation gives 4.758 g cm⁻³. The value obtained for the energy relative to the elements is -196 meV/atom.

a b c (Å): 9.1076 9.1076 13.2587
angles (deg): 129.44 129.44 29.01
Element x y z (fractional)
Ba 0.0000 0.0000 0.0000
Ba 0.3150 0.3150 0.4224
Ba 0.3850 0.3850 0.1924
Ba 0.6150 0.6150 0.8076
Ba 0.6850 0.6850 0.5776
Zn 0.0000 0.0000 0.5000
Zn 0.0777 0.0777 0.3171
Zn 0.2946 0.2946 0.8420
Zn 0.7054 0.7054 0.1580
Zn 0.9223 0.9223 0.6829
Ga 0.3908 0.3908 0.7394
Ga 0.6092 0.6092 0.2606

***

Material: SrRe3
Method: DFT, PBE-GGA
State: relaxed

Summary:
The density of states at the Fermi level is 1.250 states/eV per atom. For the mass density, the calculation gives 11.064 g cm⁻³. The value obtained for the energy relative to the elements is 824 meV/atom. The energy above the most stable polymorph in this dataset comes out at 0.41 eV/f.u.

a b c (Å): 7.1928 7.1928 4.3294
angles (deg): 90.00 90.00 120.00
Element x y z (fractional)
Sr 0.3333 0.6667 0.2500
Sr 0.6667 0.3333 0.7500
Re 0.1190 0.2380 0.7500
Re 0.1190 0.8810 0.7500
Re 0.2380 0.1190 0.2500
Re 0.7620 0.8810 0.7500
Re 0.8810 0.1190 0.2500
Re 0.8810 0.7620 0.2500

***

Material: Cd2CuPb2
Method: DFT, PBE-GGA
State: relaxed

Summary:
The density of states at the Fermi level is 0.453 states/eV per atom. For the mass density, the calculation gives 8.093 g cm⁻³. The value obtained for the energy relative to the elements is 494 meV/atom. The energy above the most stable polymorph in this dataset comes out at 1.50 eV/f.u.

a b c (Å): 4.4363 4.4363 14.6527
angles (deg): 90.00 90.00 90.00
Element x y z (fractional)
Cd 0.0000 0.0000 0.0917
Cd 0.0000 0.0000 0.9083
Cd 0.5000 0.5000 0.4083
Cd 0.5000 0.5000 0.5917
Cu 0.0000 0.0000 0.5000
Cu 0.5000 0.5000 0.0000
Pb 0.0000 0.5000 0.2500
Pb 0.0000 0.5000 0.7500
Pb 0.5000 0.0000 0.2500
Pb 0.5000 0.0000 0.7500

***

Q: Which of these has the lowest mass density?
A: Ca2MnAl

***

Q: Which formula does entry 7 have?
A: Ag2H3Pd3

***

Q: What is the mass density in the tenth record?
A: 8.093 g cm⁻³

***

Q: Among the records above, which one has the lowest mass density?
A: Ca2MnAl